First-principles (PBE) data for a relaxed structure of PPdRuCl2, as listed in Alexandria.

POSCAR file:
```
PPdRuCl2
1.0
4.8639 0.0000 0.0000
0.0000 4.8639 0.0000
0.0000 0.0000 4.4607
P Pd Ru Cl
1 1 1 2
Direct
0.0000 0.0000 0.0000 P
0.5000 0.5000 0.0000 Pd
0.0000 0.0000 0.5000 Ru
0.0000 0.5000 0.5000 Cl
0.5000 0.0000 0.5000 Cl
```

Calculated values
- Energy relative to the elements, uncorrected: 0.4668 eV/atom
- Energy above the most stable polymorph in this dataset: 0 meV/atom

***

First-principles (PBE) data for a relaxed structure of P2PdRuCl, as listed in Alexandria.

POSCAR file:
```
P2PdRuCl
1.0
4.6202 0.0000 0.0000
0.0000 4.6202 0.0000
0.0000 0.0000 4.8124
P Pd Ru Cl
2 1 1 1
Direct
0.0000 0.5000 0.0000 P
0.5000 0.0000 0.0000 P
0.0000 0.0000 0.0000 Pd
0.5000 0.5000 0.5000 Ru
0.0000 0.0000 0.5000 Cl
```

Calculated values
- Energy relative to the elements, uncorrected: 1.1004 eV/atom
- Energy above the most stable polymorph in this dataset: 552 meV/atom

***

First-principles (PBE) data for a relaxed structure of PPdS2Cl, as listed in Alexandria.

POSCAR file:
```
PPdS2Cl
1.0
4.5637 0.0000 0.0000
0.0000 4.5637 0.0000
0.0000 0.0000 4.5686
P Pd S Cl
1 1 2 1
Direct
0.0000 0.0000 0.0000 P
0.5000 0.5000 0.5000 Pd
0.0000 0.5000 0.0000 S
0.5000 0.0000 0.0000 S
0.0000 0.0000 0.5000 Cl
```

Calculated values
- Energy relative to the elements, uncorrected: 0.5695 eV/atom
- Energy above the most stable polymorph in this dataset: 0 meV/atom

***

First-principles (PBE) data for a relaxed structure of PPdS2Cl, as listed in Alexandria.

POSCAR file:
```
PPdS2Cl
1.0
4.7938 0.0000 0.0000
0.0000 4.7938 0.0000
0.0000 0.0000 4.6878
P Pd S Cl
1 1 2 1
Direct
0.0000 0.0000 0.0000 P
0.0000 0.0000 0.5000 Pd
0.0000 0.5000 0.5000 S
0.5000 0.0000 0.5000 S
0.5000 0.5000 0.0000 Cl
```

Calculated values
- Energy relative to the elements, uncorrected: 0.7929 eV/atom
- Energy above the most stable polymorph in this dataset: 223 meV/atom

***

First-principles (PBE) data for a relaxed structure of P2PdSCl, as listed in Alexandria.

POSCAR file:
```
P2PdSCl
1.0
4.7389 0.0000 0.0000
0.0000 4.7389 0.0000
0.0000 0.0000 4.7406
P Pd S Cl
2 1 1 1
Direct
0.0000 0.5000 0.0000 P
0.5000 0.0000 0.0000 P
0.0000 0.0000 0.0000 Pd
0.0000 0.0000 0.5000 S
0.5000 0.5000 0.5000 Cl
```

Calculated values
- Energy relative to the elements, uncorrected: 0.8446 eV/atom
- Energy above the most stable polymorph in this dataset: 40 meV/atom

***

First-principles (PBE) data for a relaxed structure of P2PdSCl, as listed in Alexandria.

POSCAR file:
```
P2PdSCl
1.0
4.5314 0.0000 0.0000
0.0000 4.5314 0.0000
0.0000 0.0000 4.6866
P Pd S Cl
2 1 1 1
Direct
0.0000 0.5000 0.0000 P
0.5000 0.0000 0.0000 P
0.0000 0.0000 0.5000 Pd
0.5000 0.5000 0.5000 S
0.5000 0.5000 0.0000 Cl
```

Calculated values
- Energy relative to the elements, uncorrected: 1.3848 eV/atom
- Energy above the most stable polymorph in this dataset: 580 meV/atom

***

First-principles (PBE) data for a relaxed structure of P2PdSCl, as listed in Alexandria.

POSCAR file:
```
P2PdSCl
1.0
4.7033 0.0000 0.0000
0.0000 4.7033 0.0000
0.0000 0.0000 4.7063
P Pd S Cl
2 1 1 1
Direct
0.0000 0.5000 0.0000 P
0.5000 0.0000 0.0000 P
0.0000 0.0000 0.0000 Pd
0.5000 0.5000 0.5000 S
0.0000 0.0000 0.5000 Cl
```

Calculated values
- Energy relative to the elements, uncorrected: 0.8043 eV/atom
- Energy above the most stable polymorph in this dataset: 0 meV/atom

***

First-principles (PBE) data for a relaxed structure of PPdS2Cl, as listed in Alexandria.

POSCAR file:
```
PPdS2Cl
1.0
4.5190 0.0000 0.0000
0.0000 4.5190 0.0000
0.0000 0.0000 4.7387
P Pd S Cl
1 1 2 1
Direct
0.0000 0.0000 0.0000 P
0.5000 0.5000 0.0000 Pd
0.0000 0.5000 0.5000 S
0.5000 0.0000 0.5000 S
0.0000 0.0000 0.5000 Cl
```

Calculated values
- Energy relative to the elements, uncorrected: 1.3671 eV/atom
- Energy above the most stable polymorph in this dataset: 798 meV/atom

***

First-principles (PBE) data for a relaxed structure of PPdSCl2, as listed in Alexandria.

POSCAR file:
```
PPdSCl2
1.0
4.7732 0.0000 0.0000
0.0000 4.7732 0.0000
0.0000 0.0000 4.8223
P Pd S Cl
1 1 1 2
Direct
0.0000 0.0000 0.0000 P
0.0000 0.0000 0.5000 Pd
0.5000 0.5000 0.0000 S
0.0000 0.5000 0.5000 Cl
0.5000 0.0000 0.5000 Cl
```

Calculated values
- Energy relative to the elements, uncorrected: 0.5666 eV/atom
- Energy above the most stable polymorph in this dataset: 155 meV/atom

***

First-principles (PBE) data for a relaxed structure of PPdSCl2, as listed in Alexandria.

POSCAR file:
```
PPdSCl2
1.0
4.8014 0.0000 0.0000
0.0000 4.8014 0.0000
0.0000 0.0000 4.5131
P Pd S Cl
1 1 1 2
Direct
0.0000 0.0000 0.0000 P
0.5000 0.5000 0.5000 Pd
0.0000 0.0000 0.5000 S
0.0000 0.5000 0.0000 Cl
0.5000 0.0000 0.0000 Cl
```

Calculated values
- Energy relative to the elements, uncorrected: 0.4119 eV/atom
- Energy above the most stable polymorph in this dataset: 0 meV/atom

***

First-principles (PBE) data for a relaxed structure of PPdSCl2, as listed in Alexandria.

POSCAR file:
```
PPdSCl2
1.0
4.7691 0.0000 0.0000
0.0000 4.7691 0.0000
0.0000 0.0000 4.8236
P Pd S Cl
1 1 1 2
Direct
0.0000 0.0000 0.0000 P
0.5000 0.5000 0.5000 Pd
0.5000 0.5000 0.0000 S
0.0000 0.5000 0.5000 Cl
0.5000 0.0000 0.5000 Cl
```

Calculated values
- Energy relative to the elements, uncorrected: 0.5557 eV/atom
- Energy above the most stable polymorph in this dataset: 144 meV/atom

***

First-principles (PBE) data for a relaxed structure of PPdSCl2, as listed in Alexandria.

POSCAR file:
```
PPdSCl2
1.0
4.6752 0.0000 0.0000
0.0000 4.6752 0.0000
0.0000 0.0000 4.7707
P Pd S Cl
1 1 1 2
Direct
0.0000 0.0000 0.0000 P
0.5000 0.5000 0.0000 Pd
0.0000 0.0000 0.5000 S
0.0000 0.5000 0.5000 Cl
0.5000 0.0000 0.5000 Cl
```

Calculated values
- Energy relative to the elements, uncorrected: 0.7966 eV/atom
- Energy above the most stable polymorph in this dataset: 385 meV/atom